A geometry-optimized K3Li2In7 structure, computed with PBE.

Values from the calculation:
* raw total energy: -2.334 eV/atom
* crystal system: trigonal

Cell: 6.4176 6.4176 29.4133 Å, 90.00 90.00 120.00°
Last column: nearest neighbours and their distance in Å.
Space group R-3m (No. 166, hexagonal axes)
Unique sites:
K: 0.0000 0.0000 0.0000 x3  6 Li 3.71, 12 In 3.95
K: 0.0000 0.0000 0.1424 x6  12 In 3.72-3.78, 3 K 3.97
Li: 0.0000 0.0000 0.3342 x6  6 In 2.95-2.97
In: 0.0000 0.0000 0.5000 x3  6 In 3.20
In: 0.0033 0.5016 0.9216 x18  2 Li 2.95-2.97, 5 In 3.18-3.24